1.
! NaZnGa3 (PBE, relaxed); values from VASP
&SYSTEM
  ibrav = 0, nat = 5, ntyp = 3
/
ATOMIC_SPECIES
Ga 69.72 Ga.upf
Zn 65.41 Zn.upf
Na 22.99 Na.upf
CELL_PARAMETERS angstrom
4.0504 0.4599 -0.0022
-0.4748 4.0487 -0.0022
-1.7843 -2.2499 5.9147
ATOMIC_POSITIONS crystal
Ga 0.1507 0.6512 0.3019
Ga 0.0052 0.0052 0.0100
Ga 0.6512 0.1507 0.3019
Zn 0.7937 0.7937 0.5877
Na 0.3962 0.3962 0.7923
! Energy of formation from the pure elements in eV per atom: -0.1106
! E above lowest polymorph in meV/atom: 0
! Fermi-level density of states in states/eV/f.u.: 1.1

=====

2.
! PtS2N2 (PBE, relaxed); values from VASP
&SYSTEM
  ibrav = 0, nat = 5, ntyp = 3
/
ATOMIC_SPECIES
Pt 195.08 Pt.upf
N 14.01 N.upf
S 32.06 S.upf
CELL_PARAMETERS angstrom
3.6731 0.0000 0.0000
0.0000 3.6731 0.0000
0.0000 0.0000 8.3898
ATOMIC_POSITIONS crystal
Pt 0.0000 0.0000 0.0000
N 0.0000 0.5000 0.0000
N 0.5000 0.0000 0.0000
S 0.0000 0.0000 0.5000
S 0.5000 0.5000 0.5000
! E above lowest polymorph in meV/atom: 1524
! Fermi-level density of states in states/eV/f.u.: 2.5
! ΔE_f (raw) in eV/atom: 1.316

=====

> Which of these has the highest E above lowest polymorph?

PtS2N2

=====

Please write out number 1 again, unchanged.
! NaZnGa3 (PBE, relaxed); values from VASP
&SYSTEM
  ibrav = 0, nat = 5, ntyp = 3
/
ATOMIC_SPECIES
Ga 69.72 Ga.upf
Zn 65.41 Zn.upf
Na 22.99 Na.upf
CELL_PARAMETERS angstrom
4.0504 0.4599 -0.0022
-0.4748 4.0487 -0.0022
-1.7843 -2.2499 5.9147
ATOMIC_POSITIONS crystal
Ga 0.1507 0.6512 0.3019
Ga 0.0052 0.0052 0.0100
Ga 0.6512 0.1507 0.3019
Zn 0.7937 0.7937 0.5877
Na 0.3962 0.3962 0.7923
! Energy of formation from the pure elements in eV per atom: -0.1106
! E above lowest polymorph in meV/atom: 0
! Fermi-level density of states in states/eV/f.u.: 1.1